No. 1
First-principles (GGA-PBE) data for an optimized crystal structure of Y2Ho8Al, as listed in the Alexandria database.

Cell lengths 5.447, 6.394, 9.912 Å; angles 86.41, 105.95, 90.00 degrees
Element x y z (fractional)
Y 0.759 0.331 0.518
Y 0.241 0.669 0.482
Ho 0.422 0.601 0.844
Ho 0.657 0.880 0.314
Ho 0.846 0.811 0.692
Ho 0.958 0.254 0.915
Ho 0.154 0.189 0.308
Ho 0.343 0.120 0.686
Ho 0.578 0.399 0.156
Ho 0.042 0.746 0.085
Al 0.500 0.000 0.000

## Properties
Formation energy   -0.04 eV per atom



No. 2
First-principles (GGA-PBE) data for an optimized crystal structure of YHo3Al2, as listed in the Alexandria database.

Cell lengths 5.147, 8.829, 9.005 Å; angles 124.29, 90.00, 106.95 degrees
Element x y z (fractional)
Y 0.869 0.738 0.919
Y 0.131 0.262 0.081
Ho 0.313 0.627 0.620
Ho 0.940 0.880 0.595
Ho 0.617 0.235 0.701
Ho 0.383 0.765 0.299
Ho 0.060 0.120 0.405
Ho 0.687 0.373 0.380
Al 0.525 0.051 0.891
Al 0.475 0.949 0.109
Al 0.765 0.531 0.131
Al 0.235 0.469 0.869

## Properties
Formation energy   -0.19 eV per atom



No. 3
First-principles (GGA-PBE) data for an optimized crystal structure of Y2Ho2Al3, as listed in the Alexandria database.

Cell lengths 3.518, 3.524, 14.376 Å; angles 90.00, 82.97, 90.00 degrees
Element x y z (fractional)
Y 0.565 0.500 0.869
Y 0.435 0.500 0.131
Ho 0.695 0.500 0.610
Ho 0.305 0.500 0.390
Al 0.868 0.000 0.264
Al 0.000 0.000 0.000
Al 0.132 0.000 0.736

## Properties
Formation energy   -0.29 eV per atom



no.,final energy (eV per atom)
1,-4.887
2,-4.808
3,-5.046